Material: Be2Cr2O7
Method: DFT, PBE with a Hubbard U
State: optimized geometry

Unit cell a=7.2804 b=7.9080 c=9.7434 alpha=90.00 beta=111.13 gamma=90.00
Closest atoms and distances in Å follow each position.
Space group C2/c (No. 15)
Unique sites:
Be1 0.1483 0.1398 0.4419 x8  4 O 1.61-1.69
Cr1 0.2310 0.2066 0.7900 x8  4 O 1.68-1.78
O1 0.0000 0.3104 0.7500 x4  2 Cr 1.78
O2 0.0870 0.1579 0.1139 x8  1 Be 1.61, 1 Cr 1.70
O3 0.2216 0.0341 0.8875 x8  1 Be 1.63, 1 Cr 1.68
O4 0.2420 0.3084 0.3833 x8  2 Be 1.65-1.69, 1 Cr 1.77

Properties
Electronic total energy   -6.856 eV/atom
Calculated density   3.0 g/cm3